AcTbSi2Pt2 after structural relaxation. Source: Alexandria via LeMat-Bulk, functional PBE.

Geometry as POSCAR:
```
AcTbSi2Pt2
1.0
-0.194 2.192 3.596
-3.515 -1.612 -1.678
1.182 -7.241 4.477
Pt Si Tb Ac
2 2 1 1
direct
0.667 0.333 0.273
0.333 0.667 0.727
0.667 0.333 0.732
0.333 0.667 0.268
0.000 0.000 0.500
0.000 0.000 0.000
```

space group	No. 164
E_tot	-6.39	eV per atom
total moment	0.0	μB/f.u.
formation energy without anion corrections	-6.68	eV per formula unit